# 1
Density functional theory data (GGA-PBE) for a relaxed structure of DyFeB.

The structure belongs to space group R-3m (No. 166, hexagonal axes); the cell edges are 3.4837, 3.4837 and 27.7512 Å and the angles 90.00°, 90.00° and 120.00°. The asymmetric unit holds Dy at (0.0000, 0.0000, 0.1068), Fe at (0.0000, 0.0000, 0.3608) and B at (0.0000, 0.0000, 0.2870).

The magnetic moment comes out at 1.3 μB per formula unit. As for the energy relative to the elements: -177 meV per atom.


# 2
Density functional theory data (GGA-PBE) for a relaxed structure of DyFe9B4.

The structure belongs to space group I4/mcm (No. 140); the cell edges are 7.3171, 7.3171 and 10.8478 Å and the angles 90.00°, 90.00° and 90.00°. The asymmetric unit holds Dy at (0.0000, 0.0000, 0.2500), Fe at (0.0000, 0.5000, 0.0000), Fe at (0.0803, 0.1938, 0.0000), Fe at (0.1356, 0.3644, 0.1855) and B at (0.1654, 0.3346, 0.3790).

The magnetic moment comes out at 10.6 μB per formula unit. As for the energy relative to the elements: -45 meV per atom.


# 3
Density functional theory data (GGA-PBE) for a relaxed structure of DyFeB2.

The structure belongs to space group Pnma (No. 62); the cell edges are 5.7993, 5.1997 and 6.1232 Å and the angles 90.00°, 90.00° and 90.00°. The asymmetric unit holds Dy at (0.0037, 0.2500, 0.1544), Fe at (0.1793, 0.2500, 0.6808) and B at (0.1261, 0.5831, 0.4564).

The magnetic moment comes out at 1.0 μB per formula unit. As for the energy relative to the elements: -482 meV per atom.


# 4
Density functional theory data (GGA-PBE) for a relaxed structure of Dy3FeB7.

The structure belongs to space group Cmcm (No. 63); the cell edges are 3.4169, 15.7133 and 9.2943 Å and the angles 90.00°, 90.00° and 90.00°. The asymmetric unit holds Dy at (0.0000, 0.1048, 0.0608), Dy at (0.0000, 0.2426, 0.7500), Fe at (0.0000, 0.0544, 0.7500), B at (0.0000, 0.2725, 0.0326), B at (0.0000, 0.3700, 0.1532), B at (0.0000, 0.4607, 0.7500) and B at (0.0000, 0.4780, 0.0984).

The magnetic moment comes out at 0.0 μB per formula unit. As for the energy relative to the elements: -595 meV per atom.